Material: LiGdDyBe
Method: DFT, GGA-PBE
State: relaxed

spin magnetization	30.85	μB per cell
energy of formation from the pure elements	133	meV/atom
density of states at the Fermi level	13.37	states/eV/cell

Lattice parameters (Å, degrees): 7.0748 7.0748 7.0748 90.00 90.00 90.00
Space group F-43m (No. 216)
Symmetry-distinct sites (fractional):
Li1 0.0000 0.0000 0.0000 (multiplicity 4)
Gd1 0.2500 0.2500 0.2500 (multiplicity 4)
Dy1 0.2500 0.2500 0.7500 (multiplicity 4)
Be1 0.0000 0.0000 0.5000 (multiplicity 4)